Record 1
# VTc3Se

Crystalline VTc3Se at its relaxed geometry (PBE, Alexandria via LeMat-Bulk).

## Properties
Energy relative to the elements, uncorrected ... 1.1228 eV/atom
Relative energy among the computed polymorphs ... 0.00 eV/f.u.
Final energy ... -7.62 eV/atom
Total magnetic moment ... 0.4 μB per cell

Unit cell a=4.5024 b=4.5024 c=4.5024 alpha=90.00 beta=90.00 gamma=90.00
Positions (direct):
V (0.0000, 0.0000, 0.0000)
Tc (0.0000, 0.5000, 0.5000)
Tc (0.5000, 0.0000, 0.5000)
Tc (0.5000, 0.5000, 0.0000)
Se (0.5000, 0.5000, 0.5000)

Record 2
# V3TcSe

Crystalline V3TcSe at its relaxed geometry (PBE, Alexandria via LeMat-Bulk).

## Properties
Energy relative to the elements, uncorrected ... 1.0388 eV/atom
Relative energy among the computed polymorphs ... 0.93 eV/f.u.
Final energy ... -7.20 eV/atom
Total magnetic moment ... 1.6 μB per cell

Unit cell a=4.5791 b=4.5791 c=4.5791 alpha=90.00 beta=90.00 gamma=90.00
Positions (direct):
V (0.0000, 0.0000, 0.5000)
V (0.0000, 0.5000, 0.0000)
V (0.5000, 0.0000, 0.0000)
Tc (0.0000, 0.0000, 0.0000)
Se (0.5000, 0.5000, 0.5000)

Record 3
# VTc3Se

Crystalline VTc3Se at its relaxed geometry (PBE, Alexandria via LeMat-Bulk).

## Properties
Energy relative to the elements, uncorrected ... 1.3716 eV/atom
Relative energy among the computed polymorphs ... 1.24 eV/f.u.
Final energy ... -7.37 eV/atom
Total magnetic moment ... 0.8 μB per cell

Unit cell a=4.5004 b=4.5004 c=4.5004 alpha=90.00 beta=90.00 gamma=90.00
Positions (direct):
V (0.0000, 0.0000, 0.0000)
Tc (0.0000, 0.0000, 0.5000)
Tc (0.0000, 0.5000, 0.0000)
Tc (0.5000, 0.0000, 0.0000)
Se (0.5000, 0.5000, 0.5000)